(1)
Compound: Cs2SiCCl6
Source: Alexandria via LeMat-Bulk
Functional: PBE
Structure: relaxed

Summary:
For the density of states at the Fermi level, the calculation gives 0.278 states/eV per atom. For the energy, the calculation gives -3.369 eV per atom.

Cell: 7.5481 7.5481 7.5481 Å, 123.40 123.40 84.21°
Last column: nearest neighbours and their distance in Å.
Atoms (fractional coordinates):
Cs1 0.2500 0.7500 0.5000  12 Cl 3.62-3.78
Cs2 0.7500 0.2500 0.5000  12 Cl 3.62-3.78
Si1 0.0000 0.0000 0.0000  6 Cl 2.25-2.27
C1 0.5000 0.5000 0.0000  4 Cl 2.79
Cl1 0.2012 0.2012 0.0000  1 Si 2.25
Cl2 0.2242 0.2242 0.4483  1 Si 2.27
Cl3 0.2242 0.7758 0.0000  1 Si 2.27
Cl4 0.7758 0.2242 0.0000  1 Si 2.27
Cl5 0.7758 0.7758 0.5517  1 Si 2.27
Cl6 0.7988 0.7988 0.0000  1 Si 2.25


(2)
Compound: Cs2SnCCl6
Source: Alexandria via LeMat-Bulk
Functional: PBE
Structure: relaxed

Summary:
For the density of states at the Fermi level, the calculation gives 0.000 states/eV per atom. For the energy, the calculation gives -3.312 eV per atom.

Cell: 7.3296 7.3296 7.3296 Å, 119.97 119.97 90.05°
Last column: nearest neighbours and their distance in Å.
Atoms (fractional coordinates):
Cs1 0.2500 0.7500 0.5000  12 Cl 3.67
Cs2 0.7500 0.2500 0.5000  12 Cl 3.67
Sn1 0.0000 0.0000 0.0000  6 Cl 2.76-2.77
C1 0.5000 0.5000 0.0000  6 Cl 2.42
Cl1 0.2668 0.2668 0.0000  1 C 2.42
Cl2 0.2671 0.2671 0.5342  1 C 2.42
Cl3 0.2671 0.7329 0.0000  1 C 2.42
Cl4 0.7329 0.2671 0.0000  1 C 2.42
Cl5 0.7332 0.7332 0.0000  1 C 2.42
Cl6 0.7329 0.7329 0.4658  1 C 2.42


(3)
Compound: Cs2SrCCl6
Source: Alexandria via LeMat-Bulk
Functional: PBE
Structure: relaxed

Summary:
For the density of states at the Fermi level, the calculation gives 0.000 states/eV per atom. For the energy, the calculation gives -3.454 eV per atom.

Cell: 7.4453 7.4453 7.4453 Å, 60.00 60.00 60.00°
Last column: nearest neighbours and their distance in Å.
Atoms (fractional coordinates):
Cs1 0.2500 0.2500 0.2500  12 Cl 3.73
Cs2 0.7500 0.7500 0.7500  12 Cl 3.73
Sr1 0.0000 0.0000 0.0000  6 Cl 2.88
C1 0.5000 0.5000 0.5000  6 Cl 2.39
Cl1 0.2732 0.2732 0.7268  1 C 2.39
Cl2 0.2732 0.7268 0.2732  1 C 2.39
Cl3 0.2732 0.7268 0.7268  1 C 2.39
Cl4 0.7268 0.2732 0.2732  1 C 2.39
Cl5 0.7268 0.2732 0.7268  1 C 2.39
Cl6 0.7268 0.7268 0.2732  1 C 2.39


(4)
Compound: Cs2TaCCl6
Source: Alexandria via LeMat-Bulk
Functional: PBE
Structure: relaxed

Summary:
For the density of states at the Fermi level, the calculation gives 0.320 states/eV per atom. For the energy, the calculation gives -4.135 eV per atom.

Cell: 7.7759 7.7759 7.7759 Å, 120.62 120.62 88.92°
Last column: nearest neighbours and their distance in Å.
Atoms (fractional coordinates):
Cs1 0.2500 0.7500 0.5000  12 Cl 3.87-3.90
Cs2 0.7500 0.2500 0.5000  12 Cl 3.87-3.90
Ta1 0.0000 0.0000 0.0000  6 Cl 2.41
C1 0.5000 0.5000 0.0000  6 Cl 3.04-3.14
Cl1 0.2170 0.2170 0.0000  1 Ta 2.41
Cl2 0.2209 0.2209 0.4419  1 Ta 2.41
Cl3 0.2209 0.7791 0.0000  1 Ta 2.41
Cl4 0.7791 0.2209 0.0000  1 Ta 2.41
Cl5 0.7791 0.7791 0.5581  1 Ta 2.41
Cl6 0.7830 0.7830 0.0000  1 Ta 2.41


(5)
Compound: Cs3Tb10C4Cl21
Source: Alexandria via LeMat-Bulk
Functional: PBE
Structure: relaxed

Summary:
For the energy, the calculation gives -5.215 eV per atom.

Cell: 13.4154 13.4154 15.4406 Å, 97.68 97.68 56.08°
Last column: nearest neighbours and their distance in Å.
Atoms (fractional coordinates):
Cs1 0.0309 0.9691 0.7500  8 Cl 3.49-3.88
Cs2 0.1457 0.6545 0.4409  4 Cl 3.40-3.70
Cs3 0.3455 0.8543 0.0591  4 Cl 3.40-3.70
Cs4 0.6545 0.1457 0.9409  4 Cl 3.40-3.70
Cs5 0.8543 0.3455 0.5591  4 Cl 3.40-3.70
Cs6 0.9691 0.0309 0.2500  8 Cl 3.49-3.88
Tb1 0.0394 0.7666 0.9832  2 C 2.46-2.53, 2 Cl 2.65-2.70
Tb2 0.0845 0.3518 0.1974  1 C 2.20
Tb3 0.0985 0.3737 0.9589  4 C 2.49-2.66, 2 Cl 2.78-2.79
Tb4 0.2334 0.9606 0.5168  2 C 2.46-2.53, 2 Cl 2.65-2.70
Tb5 0.2424 0.4949 0.8707  2 C 2.49-2.56, 5 Cl 2.70-2.79
Tb6 0.2501 0.5026 0.1157  1 C 2.24
Tb7 0.3518 0.0845 0.6974  1 C 2.20
Tb8 0.3737 0.0985 0.4589  4 C 2.49-2.66, 2 Cl 2.78-2.79
Tb9 0.4949 0.2424 0.3707  2 C 2.49-2.56, 5 Cl 2.70-2.79
Tb10 0.4974 0.7499 0.3843  1 C 2.24
Tb11 0.5026 0.2501 0.6157  1 C 2.24
Tb12 0.5051 0.7576 0.6293  2 C 2.49-2.56, 5 Cl 2.70-2.79
Tb13 0.6263 0.9015 0.5411  4 C 2.49-2.66, 2 Cl 2.78-2.79
Tb14 0.6482 0.9155 0.3026  1 C 2.20
Tb15 0.7499 0.4974 0.8843  1 C 2.24
Tb16 0.7576 0.5051 0.1293  2 C 2.49-2.56, 5 Cl 2.70-2.79
Tb17 0.7666 0.0394 0.4832  2 C 2.46-2.53, 2 Cl 2.65-2.70
Tb18 0.9015 0.6263 0.0411  4 C 2.49-2.66, 2 Cl 2.78-2.79
Tb19 0.9155 0.6482 0.8026  1 C 2.20
Tb20 0.9606 0.2334 0.0168  2 C 2.46-2.53, 2 Cl 2.65-2.70
C1 0.0326 0.5908 0.9244  1 C 1.43
C2 0.1200 0.5478 0.9973  1 C 1.43
C3 0.4092 0.9674 0.5756  1 C 1.43
C4 0.4522 0.8800 0.5027  1 C 1.43
C5 0.5478 0.1200 0.4973  1 C 1.43
C6 0.5908 0.0326 0.4244  1 C 1.43
C7 0.8800 0.4522 0.0027  1 C 1.43
C8 0.9674 0.4092 0.0756  1 C 1.43
Cl1 0.0000 0.0000 0.0000  2 Tb 2.85
Cl2 0.0000 0.0000 0.5000  2 Tb 2.85
Cl3 0.0592 0.5732 0.2183  2 Tb 2.77-2.82
Cl4 0.1063 0.5641 0.7126  2 Tb 2.66-2.77
Cl5 0.1215 0.1323 0.1620  2 Tb 2.69-2.79
Cl6 0.1323 0.1215 0.6620  2 Tb 2.69-2.79
Cl7 0.1406 0.1496 0.4234  2 Tb 2.65-2.79
Cl8 0.1496 0.1406 0.9234  2 Tb 2.65-2.79
Cl9 0.1865 0.7352 0.1339  2 Tb 2.72-2.76
Cl10 0.2208 0.7091 0.8870  2 Tb 2.70
Cl11 0.2648 0.8135 0.3661  2 Tb 2.72-2.76
Cl12 0.2669 0.2895 0.3518  3 Tb 2.74-3.01
Cl13 0.2756 0.2811 0.0995  3 Tb 2.77-2.82
Cl14 0.2811 0.2756 0.5995  3 Tb 2.77-2.82
Cl15 0.2895 0.2669 0.8518  3 Tb 2.74-3.01
Cl16 0.2909 0.7792 0.6130  2 Tb 2.70
Cl17 0.3886 0.4420 0.2752  2 Tb 2.76-2.79
Cl18 0.4213 0.4239 0.0076  2 Tb 2.65-2.79
Cl19 0.4239 0.4213 0.5076  2 Tb 2.65-2.79
Cl20 0.4268 0.9408 0.2817  2 Tb 2.77-2.82
Cl21 0.4359 0.8937 0.7874  2 Tb 2.66-2.77
Cl22 0.4420 0.3886 0.7752  2 Tb 2.76-2.79
Cl23 0.5580 0.6114 0.2248  2 Tb 2.76-2.79
Cl24 0.5641 0.1063 0.2126  2 Tb 2.66-2.77
Cl25 0.5732 0.0592 0.7183  2 Tb 2.77-2.82
Cl26 0.5761 0.5787 0.4924  2 Tb 2.65-2.79
Cl27 0.5787 0.5761 0.9924  2 Tb 2.65-2.79
Cl28 0.6114 0.5580 0.7248  2 Tb 2.76-2.79
Cl29 0.7091 0.2208 0.3870  2 Tb 2.70
Cl30 0.7105 0.7331 0.1482  3 Tb 2.74-3.01
Cl31 0.7189 0.7244 0.4005  3 Tb 2.77-2.82
Cl32 0.7244 0.7189 0.9005  3 Tb 2.77-2.82
Cl33 0.7331 0.7105 0.6482  3 Tb 2.74-3.01
Cl34 0.7352 0.1865 0.6339  2 Tb 2.72-2.76
Cl35 0.7792 0.2909 0.1130  2 Tb 2.70
Cl36 0.8135 0.2648 0.8661  2 Tb 2.72-2.76
Cl37 0.8504 0.8594 0.0766  2 Tb 2.65-2.79
Cl38 0.8594 0.8504 0.5766  2 Tb 2.65-2.79
Cl39 0.8677 0.8785 0.3380  2 Tb 2.69-2.79
Cl40 0.8785 0.8677 0.8380  2 Tb 2.69-2.79
Cl41 0.8937 0.4359 0.2874  2 Tb 2.66-2.77
Cl42 0.9408 0.4268 0.7817  2 Tb 2.77-2.82


(6)
Compound: Cs2TcCCl
Source: Alexandria via LeMat-Bulk
Functional: PBE
Structure: relaxed

Summary:
For the density of states at the Fermi level, the calculation gives 0.400 states/eV per atom. For the energy, the calculation gives -4.373 eV per atom.

Cell: 6.0790 6.0790 3.8825 Å, 90.00 90.00 90.00°
Last column: nearest neighbours and their distance in Å.
Atoms (fractional coordinates):
Cs1 0.0000 0.5000 0.0000  2 Tc 3.04
Cs2 0.5000 0.0000 0.0000  2 Tc 3.04
Tc1 0.0000 0.0000 0.0000  2 C 1.94
C1 0.0000 0.0000 0.5000  2 Tc 1.94
Cl1 0.5000 0.5000 0.5000  8 Cs 3.61, 2 Cl 3.88


| no. | formation energy (no corrections) (eV per atom) |
| --- | --- |
| 1 | -0.6256 |
| 2 | -0.7111 |
| 3 | -1.0848 |
| 4 | -0.7486 |
| 5 | -1.9375 |
| 6 | 0.2562 |